Entry 1:
SrPH: relaxed, GGA-PBE.

Cell lengths 5.6896, 5.6879, 5.6888 Å; angles 92.76, 105.63, 133.03 degrees
Fractional coordinates of all 6 atoms:
1 H 0.9439 0.0007 0.9434
2 H 0.0561 0.9993 0.0566
3 Sr 0.4999 0.7670 0.2671
4 P 0.1635 0.4996 0.6639
5 P 0.8365 0.5004 0.3361
6 Sr 0.5001 0.2330 0.7329

Calculated density   3.2 g cm⁻³
E   -4.136 eV/atom

---

Entry 2:
HoTmAlZn: relaxed, GGA-PBE.

Cell lengths 3.5402, 3.5402, 7.1577 Å; angles 90.00, 90.00, 90.00 degrees
Fractional coordinates of all 4 atoms:
1 Zn 0.0000 0.0000 0.3519
2 Ho 0.5000 0.5000 0.6026
3 Tm 0.5000 0.5000 0.1128
4 Al 0.0000 0.0000 0.8606

Calculated density   7.9 g cm⁻³
E   -3.900 eV/atom
Formation energy from the elements   -0.383 eV per atom

---

Entry 3:
Ba2Cd2Pd: relaxed, GGA-PBE.

Cell lengths 8.5244, 8.5244, 5.3721 Å; angles 90.00, 90.00, 90.00 degrees
Fractional coordinates of all 10 atoms:
1 Ba 0.8224 0.6776 0.0000
2 Cd 0.6267 0.8733 0.5000
3 Cd 0.1267 0.6267 0.5000
4 Ba 0.6776 0.1776 0.0000
5 Pd 0.0000 0.0000 0.0000
6 Cd 0.8733 0.3733 0.5000
7 Ba 0.3224 0.8224 0.0000
8 Cd 0.3733 0.1267 0.5000
9 Ba 0.1776 0.3224 0.0000
10 Pd 0.5000 0.5000 0.0000

Calculated density   5.2 g cm⁻³
E   -2.222 eV/atom
Formation energy from the elements   -0.048 eV per atom

---

Entry 4:
BaCo2Ge2: relaxed, GGA-PBE.

Cell lengths 4.0343, 4.0343, 6.7582 Å; angles 107.37, 107.37, 90.00 degrees
Fractional coordinates of all 5 atoms:
1 Co 0.7500 0.2500 0.5000
2 Ba 0.0000 0.0000 0.0000
3 Ge 0.3455 0.3455 0.6910
4 Ge 0.6545 0.6545 0.3090
5 Co 0.2500 0.7500 0.5000

Calculated density   6.7 g cm⁻³
E   -5.453 eV/atom
Formation energy from the elements   -0.379 eV per atom

---

Entry 5:
WAuBr2: relaxed, GGA-PBE.

Cell lengths 4.9388, 4.9388, 4.9388 Å; angles 60.00, 60.00, 60.00 degrees
Fractional coordinates of all 4 atoms:
1 Br 0.0000 0.0000 0.0000
2 W 0.2500 0.2500 0.2500
3 Br 0.7500 0.7500 0.7500
4 Au 0.5000 0.5000 0.5000

Calculated density   10.5 g cm⁻³
E   -3.654 eV/atom
Formation energy without anion corrections   1.24 eV/atom

---

Entry 6:
SrLaSe: relaxed, GGA-PBE.

Cell lengths 5.1663, 5.1663, 5.1663 Å; angles 60.00, 60.00, 60.00 degrees
Fractional coordinates of all 3 atoms:
1 La 0.5000 0.5000 0.5000
2 Sr 0.0000 0.0000 0.0000
3 Se 0.7500 0.7500 0.7500

Calculated density   5.2 g cm⁻³
E   -4.241 eV/atom
Formation energy without anion corrections   -0.88 eV/atom

---

Entry 7:
AcIn2GePd5: relaxed, GGA-PBE.

Cell lengths 4.7611, 5.8143, 7.9957 Å; angles 111.32, 107.32, 90.00 degrees
Fractional coordinates of all 9 atoms:
1 Ac 0.0000 0.5000 0.0000
2 Pd 0.6406 0.8865 0.2812
3 Pd 0.3594 0.6053 0.7188
4 Pd 0.6406 0.3947 0.2812
5 Pd 0.3594 0.1135 0.7188
6 In 0.8026 0.8026 0.6051
7 Ge 0.5000 0.0000 0.0000
8 In 0.1974 0.1974 0.3949
9 Pd 0.0000 0.0000 0.0000

Calculated density   9.0 g cm⁻³
E   -4.964 eV/atom
Formation energy from the elements   -0.501 eV per atom

---

Entry 8:
ThSiNi5: relaxed, GGA-PBE.

Cell lengths 4.9590, 7.8429, 9.8716 Å; angles 90.00, 90.00, 90.00 degrees
Fractional coordinates of all 28 atoms:
1 Ni 0.5087 0.9383 0.2979
2 Th 0.2500 0.2451 0.9461
3 Ni 0.5087 0.4383 0.2021
4 Si 0.2500 0.3402 0.6472
5 Th 0.7500 0.7549 0.0539
6 Ni 0.0087 0.0617 0.7021
7 Th 0.2500 0.7451 0.5539
8 Ni 0.2500 0.9292 0.0815
9 Ni 0.2500 0.5978 0.0167
10 Ni 0.7500 0.9022 0.5167
11 Ni 0.2500 0.0978 0.4833
12 Si 0.7500 0.1598 0.1472
13 Ni 0.2500 0.4292 0.4185
14 Ni 0.2500 0.6831 0.2635
15 Ni 0.7500 0.5708 0.5815
16 Ni 0.2500 0.1831 0.2365
17 Ni 0.7500 0.3169 0.7365
18 Ni 0.4913 0.5617 0.7979
19 Ni 0.7500 0.4022 0.9833
20 Si 0.7500 0.6598 0.3528
21 Ni 0.4913 0.0617 0.7021
22 Si 0.2500 0.8402 0.8528
23 Th 0.7500 0.2549 0.4461
24 Ni 0.0087 0.5617 0.7979
25 Ni 0.9913 0.9383 0.2979
26 Ni 0.7500 0.0708 0.9185
27 Ni 0.9913 0.4383 0.2021
28 Ni 0.7500 0.8169 0.7635

Calculated density   9.6 g cm⁻³
E   -6.428 eV/atom
Formation energy without anion corrections   -0.46 eV/atom

---

Entry 9:
SnPd: relaxed, GGA-PBE.

Cell lengths 7.7587, 13.1229, 7.3154 Å; angles 90.00, 90.00, 90.00 degrees
Fractional coordinates of all 32 atoms:
1 Sn 0.5570 0.7500 0.2500
2 Sn 0.9430 0.2500 0.7500
3 Pd 0.7500 0.6439 0.7500
4 Sn 0.6930 0.0000 0.0000
5 Pd 0.5000 0.6061 0.0000
6 Pd 0.5000 0.8939 0.5000
7 Pd 0.2500 0.8561 0.2500
8 Sn 0.0570 0.2500 0.2500
9 Pd 0.0000 0.3939 0.5000
10 Pd 0.5000 0.1061 0.5000
11 Pd 0.0000 0.1061 0.0000
12 Pd 0.0000 0.8939 0.0000
13 Pd 0.5000 0.3939 0.0000
14 Sn 0.3070 0.0000 0.0000
15 Sn 0.8070 0.0000 0.5000
16 Pd 0.2500 0.1439 0.7500
17 Sn 0.1930 0.5000 0.0000
18 Sn 0.1930 0.0000 0.5000
19 Sn 0.6930 0.5000 0.5000
20 Sn 0.3070 0.5000 0.5000
21 Sn 0.0570 0.7500 0.7500
22 Pd 0.0000 0.6061 0.5000
23 Sn 0.4430 0.7500 0.7500
24 Pd 0.7500 0.8561 0.7500
25 Pd 0.2500 0.3561 0.7500
26 Sn 0.8070 0.5000 0.0000
27 Sn 0.4430 0.2500 0.2500
28 Sn 0.5570 0.2500 0.7500
29 Pd 0.7500 0.1439 0.2500
30 Pd 0.2500 0.6439 0.2500
31 Pd 0.7500 0.3561 0.2500
32 Sn 0.9430 0.7500 0.2500

Calculated density   8.0 g cm⁻³
E   -4.800 eV/atom
Formation energy from the elements   -0.202 eV per atom

---

Entry 10:
CoCuSbI2: relaxed, GGA-PBE.

Cell lengths 5.4099, 5.4099, 4.7336 Å; angles 90.00, 90.00, 90.00 degrees
Fractional coordinates of all 5 atoms:
1 I 0.5000 0.0000 0.0000
2 Co 0.0000 0.0000 0.0000
3 Cu 0.5000 0.5000 0.5000
4 I 0.0000 0.5000 0.0000
5 Sb 0.0000 0.0000 0.5000

Calculated density   6.0 g cm⁻³
E   -3.039 eV/atom
Formation energy without anion corrections   0.65 eV/atom

---

Entry 11:
UVN2: relaxed, GGA-PBE.

Cell lengths 3.1541, 5.4550, 10.6923 Å; angles 90.00, 90.00, 90.00 degrees
Fractional coordinates of all 16 atoms:
1 N 0.7500 0.2408 0.5070
2 U 0.2500 0.4229 0.3566
3 N 0.7500 0.6668 0.2544
4 V 0.2500 0.0737 0.5978
5 N 0.2500 0.3332 0.7456
6 N 0.2500 0.2592 0.0070
7 U 0.2500 0.9229 0.1434
8 N 0.7500 0.7408 0.9930
9 U 0.7500 0.0771 0.8566
10 V 0.2500 0.5737 0.9022
11 V 0.7500 0.4263 0.0978
12 N 0.2500 0.7592 0.4930
13 N 0.7500 0.1668 0.2456
14 U 0.7500 0.5771 0.6434
15 N 0.2500 0.8332 0.7544
16 V 0.7500 0.9263 0.4022

Calculated density   11.4 g cm⁻³
E   -10.583 eV/atom
Formation energy without anion corrections   -1.32 eV/atom

---

Entry 12:
ScOs: relaxed, GGA-PBE.

Cell lengths 8.3679, 4.6109, 5.3320 Å; angles 90.00, 90.00, 90.00 degrees
Fractional coordinates of all 12 atoms:
1 Os 0.0000 0.5000 0.5986
2 Os 0.6589 0.5000 0.8312
3 Sc 0.1770 0.0000 0.8264
4 Sc 0.3230 0.5000 0.3264
5 Os 0.3411 0.5000 0.8312
6 Os 0.5000 0.0000 0.0986
7 Sc 0.5000 0.0000 0.5884
8 Sc 0.8230 0.0000 0.8264
9 Sc 0.0000 0.5000 0.0884
10 Os 0.8411 0.0000 0.3312
11 Os 0.1589 0.0000 0.3312
12 Sc 0.6770 0.5000 0.3264

Calculated density   11.4 g cm⁻³
E   -8.814 eV/atom
Formation energy from the elements   -0.034 eV per atom

---

Entry 13:
RbPr2Br2F5: relaxed, GGA-PBE.

Cell lengths 3.6682, 10.5334, 10.5334 Å; angles 90.00, 90.00, 90.00 degrees
Fractional coordinates of all 20 atoms:
1 F 0.5000 0.4214 0.2641
2 F 0.5000 0.0786 0.7641
3 F 0.5000 0.9214 0.2359
4 F 0.5000 0.2359 0.0786
5 F 0.5000 0.5000 0.0000
6 Br 0.0000 0.3326 0.8326
7 F 0.5000 0.7359 0.4214
8 Rb 0.0000 0.0000 0.0000
9 F 0.5000 0.0000 0.5000
10 F 0.5000 0.2641 0.5786
11 Br 0.0000 0.8326 0.6674
12 Br 0.0000 0.6674 0.1674
13 Rb 0.0000 0.5000 0.5000
14 F 0.5000 0.5786 0.7359
15 Pr 0.0000 0.3726 0.1274
16 Pr 0.0000 0.1274 0.6274
17 Pr 0.0000 0.8726 0.3726
18 Pr 0.0000 0.6274 0.8726
19 Br 0.0000 0.1674 0.3326
20 F 0.5000 0.7641 0.9214

Calculated density   5.1 g cm⁻³
E   -5.456 eV/atom
Formation energy without anion corrections   -3.13 eV/atom

---

Entry 14:
Dy7Y12Sc: relaxed, GGA-PBE.

Cell lengths 6.1141, 11.3309, 11.3309 Å; angles 116.84, 100.36, 100.36 degrees
Fractional coordinates of all 20 atoms:
1 Dy 0.8853 0.2423 0.9996
2 Y 0.5761 0.9996 0.6477
3 Y 0.0858 0.5855 0.1716
4 Y 0.9142 0.8284 0.4139
5 Y 0.4997 0.4139 0.5855
6 Y 0.0858 0.1716 0.5861
7 Sc 0.0000 0.0000 0.0000
8 Y 0.9284 0.3523 0.3520
9 Y 0.5003 0.5861 0.4145
10 Dy 0.8857 0.0004 0.2427
11 Y 0.4235 0.3520 0.9996
12 Y 0.4239 0.0004 0.3523
13 Y 0.9142 0.4145 0.8284
14 Dy 0.1147 0.7577 0.0004
15 Y 0.0716 0.6477 0.6480
16 Dy 0.5000 0.0000 0.0000
17 Dy 0.6430 0.7573 0.7577
18 Dy 0.3570 0.2427 0.2423
19 Dy 0.1143 0.9996 0.7573
20 Y 0.5765 0.6480 0.0004

Calculated density   5.7 g cm⁻³
E   -5.572 eV/atom
Formation energy from the elements   0.234 eV per atom

---

Entry 15:
YMg2Cu: relaxed, GGA-PBE.

Cell lengths 9.0558, 9.0558, 9.0558 Å; angles 22.65, 22.65, 22.65 degrees
Fractional coordinates of all 4 atoms:
1 Mg 0.0147 0.0147 0.0147
2 Cu 0.7451 0.7451 0.7451
3 Y 0.4851 0.4851 0.4851
4 Mg 0.2550 0.2550 0.2550

Calculated density   3.5 g cm⁻³
E   -3.358 eV/atom
Formation energy from the elements   0.079 eV per atom

---

Entry 16:
RbSr2FeSe: relaxed, GGA-PBE.

Cell lengths 5.6204, 5.7061, 5.6204 Å; angles 90.00, 90.00, 90.00 degrees
Fractional coordinates of all 5 atoms:
1 Rb 0.0000 0.5000 0.0000
2 Sr 0.0000 0.0000 0.5000
3 Se 0.5000 0.5000 0.5000
4 Fe 0.0000 0.0000 0.0000
5 Sr 0.5000 0.0000 0.0000

Calculated density   3.6 g cm⁻³
E   -3.044 eV/atom
Formation energy without anion corrections   0.21 eV/atom

---

Entry 17:
ErSCl: relaxed, GGA-PBE.

Cell lengths 3.9557, 5.3318, 8.4639 Å; angles 90.00, 90.00, 90.00 degrees
Fractional coordinates of all 6 atoms:
1 Er 0.5000 0.5000 0.8642
2 Cl 0.0000 0.5000 0.6561
3 Er 0.0000 0.0000 0.1358
4 S 0.0000 0.5000 0.0861
5 Cl 0.5000 0.0000 0.3439
6 S 0.5000 0.0000 0.9139

Calculated density   4.4 g cm⁻³
E   -5.701 eV/atom
Formation energy without anion corrections   -2.19 eV/atom

---

Entry 18:
BaTePN2: relaxed, GGA-PBE.

Cell lengths 4.4856, 4.4856, 5.2060 Å; angles 90.00, 90.00, 90.00 degrees
Fractional coordinates of all 5 atoms:
1 P 0.0000 0.0000 0.0000
2 Te 0.0000 0.0000 0.5000
3 N 0.0000 0.5000 0.0000
4 N 0.5000 0.0000 0.0000
5 Ba 0.5000 0.5000 0.5000

Calculated density   5.1 g cm⁻³
E   -4.538 eV/atom
Formation energy without anion corrections   0.89 eV/atom

---

Entry 19:
EuGa4Ge: relaxed, GGA-PBE.

Cell lengths 5.6070, 5.6070, 5.6070 Å; angles 60.00, 60.00, 60.00 degrees
Fractional coordinates of all 6 atoms:
1 Ga 0.6257 0.1230 0.6257
2 Ga 0.1230 0.6257 0.6257
3 Eu 0.2500 0.2500 0.2500
4 Ge 0.0000 0.0000 0.0000
5 Ga 0.6257 0.6257 0.6257
6 Ga 0.6257 0.6257 0.1230

Calculated density   6.7 g cm⁻³
E   -4.665 eV/atom
Formation energy from the elements   -0.165 eV per atom

---

Entry 20:
Cu2Se: relaxed, GGA-PBE.

Cell lengths 3.1049, 3.1049, 5.5053 Å; angles 90.00, 90.00, 120.00 degrees
Fractional coordinates of all 3 atoms:
1 Se 0.0000 0.0000 0.0000
2 Cu 0.6667 0.3333 0.6633
3 Cu 0.3333 0.6667 0.3367

Calculated density   7.4 g cm⁻³
E   -3.645 eV/atom
Formation energy without anion corrections   0.25 eV/atom

---

Entry 21:
MgCd5Au6: relaxed, GGA-PBE.

Cell lengths 4.7400, 6.8716, 8.1030 Å; angles 64.91, 76.43, 90.00 degrees
Fractional coordinates of all 12 atoms:
1 Au 0.1598 0.9189 0.6772
2 Au 0.1598 0.4040 0.6771
3 Cd 0.6631 0.6648 0.6705
4 Cd 0.6696 0.1717 0.6566
5 Au 0.5000 0.2336 0.9999
6 Au 0.5000 0.7664 0.0001
7 Cd 0.0000 0.5000 0.0000
8 Mg 0.0000 0.0000 0.0000
9 Au 0.8402 0.0811 0.3228
10 Au 0.8402 0.5960 0.3229
11 Cd 0.3369 0.3352 0.3295
12 Cd 0.3304 0.8283 0.3434

Calculated density   12.7 g cm⁻³
E   -2.406 eV/atom
Formation energy from the elements   -0.253 eV per atom

---

Entry 22:
Na2TiCl: relaxed, GGA-PBE.

Cell lengths 5.4640, 5.4640, 5.4640 Å; angles 60.00, 60.00, 60.00 degrees
Fractional coordinates of all 4 atoms:
1 Cl 0.0000 0.0000 0.0000
2 Na 0.7500 0.7500 0.7500
3 Na 0.2500 0.2500 0.2500
4 Ti 0.5000 0.5000 0.5000

Calculated density   1.9 g cm⁻³
E   -2.782 eV/atom
Formation energy without anion corrections   0.31 eV/atom